No. 1
Entry from the Alexandria database: a relaxed structure of KCa2ReO6 (PBE).

Summary:
SG = R3

The structure in POSCAR format:
```
KCa2ReO6
1.0
5.825 0.000 0.000
2.912 5.044 0.000
2.912 1.682 5.195
Ca O K Re
2 6 1 1
Cartesian
2.912 1.682 4.985 Ca
5.825 3.363 2.217 Ca
5.002 5.340 1.102 O
4.356 3.141 4.072 O
6.752 2.202 4.072 O
7.948 3.087 1.103 O
4.524 1.662 1.103 O
6.367 4.746 4.072 O
8.737 5.044 3.205 K
2.912 1.681 0.124 Re
```


No. 2
Entry from the Alexandria database: a relaxed structure of K4CaRe3O12 (PBE).

Summary:
SG = Im-3m

The structure in POSCAR format:
```
K4CaRe3O12
1.0
-2.409 1.791 6.365
-0.704 -6.943 -0.906
6.795 1.756 -0.515
O K Re Ca
12 4 3 1
Cartesian
-2.259 -3.739 3.961 O
-0.034 -3.873 2.374 O
4.142 -1.707 0.751 O
-0.460 -1.689 4.192 O
3.183 2.574 4.245 O
-0.854 -1.414 1.498 O
1.671 -1.423 -0.390 O
2.267 -3.882 0.654 O
1.203 0.973 1.605 O
1.415 0.485 4.289 O
4.420 -3.764 -1.032 O
3.716 0.476 2.569 O
3.398 0.878 -0.258 K
-0.352 -3.472 -0.453 K
1.841 -1.698 2.472 K
-1.205 0.896 3.182 K
-1.557 -2.576 2.729 Re
3.046 -2.594 -0.711 Re
2.193 1.773 2.925 Re
0.000 0.000 0.000 Ca
```


No. 3
Entry from the Alexandria database: a relaxed structure of K2Ca2ReO6 (PBE).

Summary:
SG = C2/m

The structure in POSCAR format:
```
K2Ca2ReO6
1.0
-3.185 4.741 -0.550
-1.692 -4.017 3.731
4.956 2.529 3.447
K O Re Ca
2 6 1 2
Cartesian
-2.933 3.263 0.173 K
-1.944 -2.539 3.008 K
-0.445 2.276 4.812 O
0.524 0.977 1.816 O
2.596 0.588 3.562 O
2.167 3.105 2.333 O
-2.087 0.148 4.295 O
-2.516 2.665 3.066 O
2.478 1.265 1.723 Re
0.283 0.197 4.013 Ca
-0.204 3.056 2.615 Ca
```


No. 4
Entry from the Alexandria database: a relaxed structure of K3CaRe2O8 (PBE).

Summary:
SG = P-3m1

The structure in POSCAR format:
```
K3CaRe2O8
1.0
-0.893 -5.989 0.853
5.679 2.268 -0.054
-0.388 1.155 7.697
O Ca K Re
8 1 3 2
Cartesian
1.705 0.111 2.562 O
1.293 -3.223 0.646 O
3.984 -1.661 2.943 O
0.415 -0.906 5.554 O
3.105 0.656 7.851 O
2.693 -2.678 5.934 O
-0.010 -3.757 5.960 O
4.409 1.191 2.536 O
-0.194 0.577 3.849 Ca
3.233 0.276 5.318 K
1.165 -2.843 3.178 K
0.000 0.000 0.000 K
0.994 -2.333 6.575 Re
3.404 -0.234 1.921 Re
```


No. 5
Entry from the Alexandria database: a relaxed structure of KCa2ReO5 (PBE).

Summary:
SG = Immm

The structure in POSCAR format:
```
KCa2ReO5
1.0
-1.354 -2.376 2.721
5.520 -2.080 0.932
-1.253 6.150 2.012
O K Ca Re
5 1 2 1
Cartesian
-0.921 3.440 2.546 O
3.834 -1.746 3.119 O
2.134 2.289 3.061 O
0.000 0.000 0.000 O
0.779 -0.595 2.603 O
2.760 -1.040 0.466 K
0.369 1.741 1.704 Ca
2.545 -0.047 3.961 Ca
-0.677 -1.188 1.360 Re
```


No. 6
Entry from the Alexandria database: a relaxed structure of K2CaRe3O12 (PBE).

Summary:
SG = R-3m

The structure in POSCAR format:
```
K2CaRe3O12
1.0
7.592 0.124 0.088
3.857 6.541 0.088
3.857 2.245 6.144
Re O Ca K
3 12 1 2
Cartesian
3.796 0.062 0.044 Re
1.929 1.123 3.072 Re
1.929 3.270 0.044 Re
6.998 6.804 1.933 O
3.358 4.308 0.562 O
9.372 2.725 1.933 O
3.358 1.955 3.880 O
6.998 4.073 5.782 O
8.309 2.106 4.387 O
11.949 4.602 5.758 O
5.405 0.793 0.562 O
9.902 8.117 5.758 O
8.309 4.836 0.538 O
11.949 6.955 2.440 O
5.935 6.185 4.387 O
0.000 0.000 0.000 Ca
5.363 3.122 2.214 K
9.944 5.788 4.105 K
```


No. 7
Entry from the Alexandria database: a relaxed structure of K3Ca3ReO8 (PBE).

Summary:
SG = R-3m

The structure in POSCAR format:
```
K3Ca3ReO8
1.0
6.861 0.000 0.000
-3.431 5.942 -0.022
0.000 -3.939 6.236
Ca K O Re
3 3 8 1
Cartesian
1.715 1.002 3.107 Ca
3.431 -1.969 3.118 Ca
-1.715 1.002 3.107 Ca
1.715 2.971 -0.011 K
-1.715 2.971 -0.011 K
0.000 0.000 0.000 K
-2.056 3.183 4.179 O
3.431 2.381 2.022 O
3.431 0.016 4.253 O
2.055 3.183 4.179 O
0.000 -0.377 4.192 O
0.000 1.988 1.961 O
1.375 -1.179 2.035 O
5.486 -1.179 2.035 O
0.000 -1.969 3.118 Re
```


No. 8
Entry from the Alexandria database: a relaxed structure of KCaRhO3 (PBE).

Summary:
SG = C2/m

The structure in POSCAR format:
```
KCaRhO3
1.0
-1.074 2.473 2.803
4.940 -4.033 2.753
3.758 5.336 -3.267
O Ca Rh K
6 2 2 2
Cartesian
4.818 2.683 2.178 O
4.249 3.311 -1.292 O
0.605 2.790 0.468 O
7.019 0.985 1.821 O
3.375 0.465 3.581 O
2.806 1.093 0.111 O
3.059 3.421 0.853 Ca
4.565 0.355 1.437 Ca
1.193 1.645 -0.994 Rh
6.431 2.131 3.283 Rh
1.001 0.784 2.390 K
6.623 2.991 -0.101 K
```


| no. | E (eV/atom) | total magnetic moment (μB per formula unit) |
| --- | --- | --- |
| 1 | -6.97 | 0.1 |
| 2 | -6.97 | 2.6 |
| 3 | -6.53 | 1.0 |
| 4 | -6.82 | 3.0 |
| 5 | -6.92 | 1.2 |
| 6 | -7.41 | 0.9 |
| 7 | -6.28 | 0.0 |
| 8 | -5.83 | 1.7 |